## ScCr2GaO6 (PBE+U)

Data for a relaxed structure of ScCr2GaO6.

```
10
Lattice="5.1525 0.0002 -0.0002 2.5762 4.4622 0.0000 2.5764 1.4873 4.6219" Properties=species:S:1:pos:R:3 pbc="T T T"
Cr 2.5763 1.4874 4.4175
Cr 5.1525 2.9749 2.0839
O 3.6295 2.9005 3.4596
O 4.1605 4.4564 1.1080
O 5.8498 4.3311 3.4592
O 5.9780 1.6930 3.4596
O 4.3656 1.3751 1.1081
O 6.9317 3.0931 1.1083
Sc 7.7288 4.4621 2.6701
Ga 2.5765 1.4874 0.3045
```

crystal system: trigonal
total magnetization: 6.0 μB per formula unit
N(E_F): 0.00 states/eV/atom
uncorrected energy: -7.713 eV/atom
calculated volume: 10.63 Å³/atom